# Li2MnNb

Crystalline Li2MnNb at its relaxed geometry (GGA-PBE, Alexandria via LeMat-Bulk).

* ΔH_f (0 K): 18.67 kcal/mol of atoms
* SG: I-42d, No. 122
* distance to the lowest polymorph of the same formula: 14 meV/atom

Geometry as extended XYZ:
```
8
Lattice="-6.6760 -1.2252 -1.7832 1.6557 -6.6164 -1.6529 -2.9724 -4.5824 0.4672" Properties=species:S:1:pos:R:3 pbc="T T T"
Nb 0.0000 0.0000 0.0000
Nb -6.0793 -4.8642 -1.5170
Mn -1.9134 -7.5598 -1.4519
Mn -2.5102 -3.9208 -1.7181
Li -0.7199 -5.4665 -1.1865
Li -4.5315 -2.7059 -1.1570
Li -4.0680 -6.5530 -0.9820
Li -6.6660 -10.1226 -2.6123
```